# 1
Entry from the Alexandria database: an optimized crystal structure of Pa2Fe5Si3 (PBE-GGA).

Cell and atoms, written as CIF:
```
data_Pa2Fe5Si3
_chemical_formula_sum 'Pa8 Fe20 Si12'
_symmetry_space_group_name_H-M 'I b a m'
_symmetry_Int_Tables_number 72
_symmetry_space_group_name_Hall '-I 2 2c'
_cell_length_a 9.633
_cell_length_b 10.813
_cell_length_c 5.588
_cell_angle_alpha 90.00
_cell_angle_beta 90.00
_cell_angle_gamma 90.00
loop_
_atom_site_label
_atom_site_fract_x
_atom_site_fract_y
_atom_site_fract_z
_atom_site_occupancy
Pa1 0.240 0.123 0.000 1
Fe1 0.000 0.000 0.250 1
Fe2 0.000 0.261 0.250 1
Fe3 0.140 0.378 0.000 1
Si1 0.000 0.500 0.250 1
Si2 0.120 0.128 0.500 1
```

Calculated values
The calculation puts the distance to the lowest polymorph of the same formula at 0.0 kJ/mol of atoms. The value obtained for the uncorrected formation energy is -459.5 meV/atom. The calculation puts the magnetic moment at 9.616 Bohr magnetons per cell. As for the total energy: -8.22 eV/atom.

=====

# 2
Entry from the Alexandria database: an optimized crystal structure of Pa2Fe5Si3 (PBE-GGA).

Cell and atoms, written as CIF:
```
data_Pa2Fe5Si3
_chemical_formula_sum 'Pa8 Fe20 Si12'
_symmetry_space_group_name_H-M 'C m c 21'
_symmetry_Int_Tables_number 36
_cell_length_a 3.930
_cell_length_b 23.557
_cell_length_c 6.139
_cell_angle_alpha 90.00
_cell_angle_beta 90.00
_cell_angle_gamma 90.00
loop_
_symmetry_equiv_pos_as_xyz
'x,y,z'
'-x,-y,z+1/2'
'-x,y,z'
'x,-y,z+1/2'
'x+1/2,y+1/2,z'
'-x+1/2,-y+1/2,z+1/2'
'-x+1/2,y+1/2,z'
'x+1/2,-y+1/2,z+1/2'
loop_
_atom_site_label
_atom_site_fract_x
_atom_site_fract_y
_atom_site_fract_z
_atom_site_occupancy
Pa1 0.000 0.009 0.000 1
Pa2 0.000 0.322 0.998 1
Fe1 0.000 0.107 0.654 1
Fe2 0.000 0.205 0.781 1
Fe3 0.000 0.210 0.184 1
Fe4 0.000 0.370 0.497 1
Fe5 0.000 0.441 0.846 1
Si1 0.000 0.112 0.236 1
Si2 0.000 0.273 0.486 1
Si3 0.000 0.439 0.226 1
```

Calculated values
The calculation puts the distance to the lowest polymorph of the same formula at 5.8 kJ/mol of atoms. The value obtained for the uncorrected formation energy is -399.8 meV/atom. The calculation puts the magnetic moment at 0.013 Bohr magnetons per cell. As for the total energy: -8.16 eV/atom.

=====

# 3
Entry from the Alexandria database: an optimized crystal structure of Pa2FeSi (PBE-GGA).

Cell and atoms, written as CIF:
```
data_Pa2FeSi
_chemical_formula_sum 'Pa4 Fe2 Si2'
_symmetry_space_group_name_H-M 'P 1 21/m 1'
_symmetry_Int_Tables_number 11
_cell_length_a 5.792
_cell_length_b 3.598
_cell_length_c 7.843
_cell_angle_alpha 90.00
_cell_angle_beta 108.12
_cell_angle_gamma 90.00
loop_
_symmetry_equiv_pos_as_xyz
'x,y,z'
'-x,-y,-z'
'-x,y+1/2,-z'
'x,-y+1/2,z'
loop_
_atom_site_label
_atom_site_fract_x
_atom_site_fract_y
_atom_site_fract_z
_atom_site_occupancy
Pa1 0.186 0.250 0.400 1
Pa2 0.213 0.250 0.956 1
Fe1 0.354 0.750 0.225 1
Si1 0.360 0.750 0.712 1
```

Calculated values
The calculation puts the distance to the lowest polymorph of the same formula at 0.0 kJ/mol of atoms. The value obtained for the uncorrected formation energy is -432.4 meV/atom. The calculation puts the magnetic moment at 0.000 Bohr magnetons per cell. As for the total energy: -8.65 eV/atom.

=====

# 4
Entry from the Alexandria database: an optimized crystal structure of Pa2Fe4Si3 (PBE-GGA).

Cell and atoms, written as CIF:
```
data_Pa2Fe4Si3
_chemical_formula_sum 'Pa8 Fe16 Si12'
_symmetry_space_group_name_H-M 'C m c e'
_symmetry_Int_Tables_number 64
_symmetry_space_group_name_Hall '-C 2ac 2'
_cell_length_a 5.360
_cell_length_b 14.741
_cell_length_c 6.502
_cell_angle_alpha 90.00
_cell_angle_beta 90.00
_cell_angle_gamma 90.00
loop_
_atom_site_label
_atom_site_fract_x
_atom_site_fract_y
_atom_site_fract_z
_atom_site_occupancy
Pa1 0.000 0.106 0.084 1
Fe1 0.000 0.173 0.471 1
Fe2 0.250 0.075 0.750 1
Si1 0.000 0.000 0.500 1
Si2 0.250 0.232 0.750 1
```

Calculated values
The value obtained for the uncorrected formation energy is -581.5 meV/atom. The calculation puts the magnetic moment at 0.000 Bohr magnetons per cell. As for the total energy: -8.26 eV/atom.

=====

# 5
Entry from the Alexandria database: an optimized crystal structure of PaFeSi2 (PBE-GGA).

Cell and atoms, written as CIF:
```
data_PaFeSi2
_chemical_formula_sum 'Pa4 Fe4 Si8'
_symmetry_space_group_name_H-M 'P n m a'
_symmetry_Int_Tables_number 62
_cell_length_a 6.473
_cell_length_b 4.002
_cell_length_c 9.959
_cell_angle_alpha 90.00
_cell_angle_beta 90.00
_cell_angle_gamma 90.00
loop_
_symmetry_equiv_pos_as_xyz
'x,y,z'
'-x,-y,-z'
'-x+1/2,-y,z+1/2'
'x+1/2,y,-z+1/2'
'x+1/2,-y+1/2,-z+1/2'
'-x+1/2,y+1/2,z+1/2'
'-x,y+1/2,-z'
'x,-y+1/2,z'
loop_
_atom_site_label
_atom_site_fract_x
_atom_site_fract_y
_atom_site_fract_z
_atom_site_occupancy
Pa1 0.175 0.250 0.122 1
Fe1 0.003 0.750 0.391 1
Si1 0.147 0.250 0.818 1
Si2 0.192 0.250 0.416 1
```

Calculated values
The value obtained for the uncorrected formation energy is -668.0 meV/atom. The calculation puts the magnetic moment at 0.000 Bohr magnetons per cell. As for the total energy: -7.87 eV/atom.

=====

# 6
Entry from the Alexandria database: an optimized crystal structure of Pa4Fe7Si6 (PBE-GGA).

Cell and atoms, written as CIF:
```
data_Pa4Fe7Si6
_chemical_formula_sum 'Pa8 Fe14 Si12'
_symmetry_space_group_name_H-M 'I m -3 m'
_symmetry_Int_Tables_number 229
_symmetry_space_group_name_Hall '-I 4 2 3'
_cell_length_a 8.009
_cell_length_b 8.009
_cell_length_c 8.009
_cell_angle_alpha 90.00
_cell_angle_beta 90.00
_cell_angle_gamma 90.00
loop_
_atom_site_label
_atom_site_fract_x
_atom_site_fract_y
_atom_site_fract_z
_atom_site_occupancy
Pa1 0.250 0.250 0.250 1
Fe1 0.000 0.000 0.000 1
Fe2 0.000 0.250 0.500 1
Si1 0.000 0.000 0.332 1
```

Calculated values
The value obtained for the uncorrected formation energy is -611.0 meV/atom. The calculation puts the magnetic moment at 1.361 Bohr magnetons per cell. As for the total energy: -8.24 eV/atom.

=====

# 7
Entry from the Alexandria database: an optimized crystal structure of PaFeSi2 (PBE-GGA).

Cell and atoms, written as CIF:
```
data_PaFeSi2
_chemical_formula_sum 'Pa3 Fe3 Si6'
_symmetry_space_group_name_H-M 'R -3 m'
_symmetry_Int_Tables_number 166
_symmetry_space_group_name_Hall '-R 3 2"'
_cell_length_a 3.9214
_cell_length_b 3.9214
_cell_length_c 14.6826
_cell_angle_alpha 90.00
_cell_angle_beta 90.00
_cell_angle_gamma 120.00
loop_
_atom_site_label
_atom_site_fract_x
_atom_site_fract_y
_atom_site_fract_z
_atom_site_occupancy
Pa1 0.0000 0.0000 0.0000 1
Fe1 0.0000 0.0000 0.5000 1
Si1 0.0000 0.0000 0.2082 1
```

Calculated values
The value obtained for the uncorrected formation energy is -606.9 meV/atom. The calculation puts the magnetic moment at 0.002 Bohr magnetons per cell. As for the total energy: -7.81 eV/atom.

=====

# 8
Entry from the Alexandria database: an optimized crystal structure of Pa3Fe7Si2 (PBE-GGA).

Cell and atoms, written as CIF:
```
data_Pa3Fe7Si2
_chemical_formula_sum 'Pa6 Fe14 Si4'
_symmetry_space_group_name_H-M 'C m m m'
_symmetry_Int_Tables_number 65
_symmetry_space_group_name_Hall '-C 2 2'
_cell_length_a 3.605
_cell_length_b 30.431
_cell_length_c 3.473
_cell_angle_alpha 90.00
_cell_angle_beta 90.00
_cell_angle_gamma 90.00
loop_
_atom_site_label
_atom_site_fract_x
_atom_site_fract_y
_atom_site_fract_z
_atom_site_occupancy
Pa1 0.000 0.000 0.000 1
Pa2 0.000 0.206 0.000 1
Fe1 0.000 0.125 0.500 1
Fe2 0.000 0.308 0.500 1
Fe3 0.000 0.374 0.000 1
Fe4 0.000 0.500 0.500 1
Si1 0.000 0.426 0.500 1
```

Calculated values
The value obtained for the uncorrected formation energy is -149.6 meV/atom. The calculation puts the magnetic moment at 16.885 Bohr magnetons per cell. As for the total energy: -8.36 eV/atom.

=====

# 9
Entry from the Alexandria database: an optimized crystal structure of Pa3Fe2Si3 (PBE-GGA).

Cell and atoms, written as CIF:
```
data_Pa3Fe2Si3
_chemical_formula_sum 'Pa12 Fe8 Si12'
_symmetry_space_group_name_H-M 'P n m a'
_symmetry_Int_Tables_number 62
_cell_length_a 7.134
_cell_length_b 13.991
_cell_length_c 5.733
_cell_angle_alpha 90.00
_cell_angle_beta 90.00
_cell_angle_gamma 90.00
loop_
_symmetry_equiv_pos_as_xyz
'x,y,z'
'-x,-y,-z'
'-x+1/2,-y,z+1/2'
'x+1/2,y,-z+1/2'
'x+1/2,-y+1/2,-z+1/2'
'-x+1/2,y+1/2,z+1/2'
'-x,y+1/2,-z'
'x,-y+1/2,z'
loop_
_atom_site_label
_atom_site_fract_x
_atom_site_fract_y
_atom_site_fract_z
_atom_site_occupancy
Pa1 0.015 0.109 0.114 1
Pa2 0.169 0.250 0.625 1
Fe1 0.164 0.601 0.391 1
Si1 0.151 0.044 0.589 1
Si2 0.190 0.750 0.608 1
```

Calculated values
The value obtained for the uncorrected formation energy is -546.6 meV/atom. The calculation puts the magnetic moment at 0.000 Bohr magnetons per cell. As for the total energy: -8.26 eV/atom.

=====

# 10
Entry from the Alexandria database: an optimized crystal structure of PaFe3Si3 (PBE-GGA).

Cell and atoms, written as CIF:
```
data_PaFe3Si3
_chemical_formula_sum 'Pa2 Fe6 Si6'
_symmetry_space_group_name_H-M 'P 63/m'
_symmetry_Int_Tables_number 176
_symmetry_space_group_name_Hall '-P 6c'
_cell_length_a 7.7122
_cell_length_b 7.7122
_cell_length_c 4.0885
_cell_angle_alpha 90.00
_cell_angle_beta 90.00
_cell_angle_gamma 120.00
loop_
_atom_site_label
_atom_site_fract_x
_atom_site_fract_y
_atom_site_fract_z
_atom_site_occupancy
Pa1 0.3333 0.6667 0.2500 1
Fe1 0.0539 0.8350 0.2500 1
Si1 0.0867 0.7050 0.7500 1
```

Calculated values
The calculation puts the distance to the lowest polymorph of the same formula at 0.0 kJ/mol of atoms. The value obtained for the uncorrected formation energy is -255.1 meV/atom. The calculation puts the magnetic moment at 3.333 Bohr magnetons per cell. As for the total energy: -7.56 eV/atom.

=====

# 11
Entry from the Alexandria database: an optimized crystal structure of Pa2FeSi (PBE-GGA).

Cell and atoms, written as CIF:
```
data_Pa2FeSi
_chemical_formula_sum 'Pa6 Fe3 Si3'
_symmetry_space_group_name_H-M 'R -3 m'
_symmetry_Int_Tables_number 166
_symmetry_space_group_name_Hall '-R 3 2"'
_cell_length_a 3.0778
_cell_length_b 3.0778
_cell_length_c 28.8609
_cell_angle_alpha 90.00
_cell_angle_beta 90.00
_cell_angle_gamma 120.00
loop_
_atom_site_label
_atom_site_fract_x
_atom_site_fract_y
_atom_site_fract_z
_atom_site_occupancy
Pa1 0.0000 0.0000 0.0817 1
Fe1 0.0000 0.0000 0.0000 1
Si1 0.0000 0.0000 0.5000 1
```

Calculated values
The calculation puts the distance to the lowest polymorph of the same formula at 63.5 kJ/mol of atoms. The value obtained for the uncorrected formation energy is 225.6 meV/atom. The calculation puts the magnetic moment at 2.663 Bohr magnetons per cell. As for the total energy: -7.99 eV/atom.

=====

# 12
Entry from the Alexandria database: an optimized crystal structure of PaFeSi3 (PBE-GGA).

Cell and atoms, written as CIF:
```
data_PaFeSi3
_chemical_formula_sum 'Pa4 Fe4 Si12'
_symmetry_space_group_name_H-M 'P n m a'
_symmetry_Int_Tables_number 62
_cell_length_a 7.863
_cell_length_b 3.954
_cell_length_c 10.190
_cell_angle_alpha 90.00
_cell_angle_beta 90.00
_cell_angle_gamma 90.00
loop_
_symmetry_equiv_pos_as_xyz
'x,y,z'
'-x,-y,-z'
'-x+1/2,-y,z+1/2'
'x+1/2,y,-z+1/2'
'x+1/2,-y+1/2,-z+1/2'
'-x+1/2,y+1/2,z+1/2'
'-x,y+1/2,-z'
'x,-y+1/2,z'
loop_
_atom_site_label
_atom_site_fract_x
_atom_site_fract_y
_atom_site_fract_z
_atom_site_occupancy
Pa1 0.189 0.250 0.028 1
Fe1 0.076 0.250 0.340 1
Si1 0.052 0.250 0.572 1
Si2 0.095 0.750 0.217 1
Si3 0.133 0.750 0.815 1
```

Calculated values
The value obtained for the uncorrected formation energy is -516.6 meV/atom. The calculation puts the magnetic moment at 0.001 Bohr magnetons per cell. As for the total energy: -7.36 eV/atom.

=====

Q: Which of these has the highest uncorrected formation energy?
A: number 11

=====

Please write out number 11 again, unchanged.
Entry from the Alexandria database: an optimized crystal structure of Pa2FeSi (PBE-GGA).

Cell and atoms, written as CIF:
```
data_Pa2FeSi
_chemical_formula_sum 'Pa6 Fe3 Si3'
_symmetry_space_group_name_H-M 'R -3 m'
_symmetry_Int_Tables_number 166
_symmetry_space_group_name_Hall '-R 3 2"'
_cell_length_a 3.0778
_cell_length_b 3.0778
_cell_length_c 28.8609
_cell_angle_alpha 90.00
_cell_angle_beta 90.00
_cell_angle_gamma 120.00
loop_
_atom_site_label
_atom_site_fract_x
_atom_site_fract_y
_atom_site_fract_z
_atom_site_occupancy
Pa1 0.0000 0.0000 0.0817 1
Fe1 0.0000 0.0000 0.0000 1
Si1 0.0000 0.0000 0.5000 1
```

Calculated values
The calculation puts the distance to the lowest polymorph of the same formula at 63.5 kJ/mol of atoms. The value obtained for the uncorrected formation energy is 225.6 meV/atom. The calculation puts the magnetic moment at 2.663 Bohr magnetons per cell. As for the total energy: -7.99 eV/atom.

=====

Q: What is the formula in the sixth record?
A: Pa4Fe7Si6

=====

Please write out number 12 again, unchanged.
Entry from the Alexandria database: an optimized crystal structure of PaFeSi3 (PBE-GGA).

Cell and atoms, written as CIF:
```
data_PaFeSi3
_chemical_formula_sum 'Pa4 Fe4 Si12'
_symmetry_space_group_name_H-M 'P n m a'
_symmetry_Int_Tables_number 62
_cell_length_a 7.863
_cell_length_b 3.954
_cell_length_c 10.190
_cell_angle_alpha 90.00
_cell_angle_beta 90.00
_cell_angle_gamma 90.00
loop_
_symmetry_equiv_pos_as_xyz
'x,y,z'
'-x,-y,-z'
'-x+1/2,-y,z+1/2'
'x+1/2,y,-z+1/2'
'x+1/2,-y+1/2,-z+1/2'
'-x+1/2,y+1/2,z+1/2'
'-x,y+1/2,-z'
'x,-y+1/2,z'
loop_
_atom_site_label
_atom_site_fract_x
_atom_site_fract_y
_atom_site_fract_z
_atom_site_occupancy
Pa1 0.189 0.250 0.028 1
Fe1 0.076 0.250 0.340 1
Si1 0.052 0.250 0.572 1
Si2 0.095 0.750 0.217 1
Si3 0.133 0.750 0.815 1
```

Calculated values
The value obtained for the uncorrected formation energy is -516.6 meV/atom. The calculation puts the magnetic moment at 0.001 Bohr magnetons per cell. As for the total energy: -7.36 eV/atom.